A plane-wave DFT calculation with PBE was carried out for a relaxed structure of HfSc3Hg.

abc: 5.1961 5.1961 5.1961
angles: 90.00 90.00 90.00
With the nearest neighbours (Å) after each atom.
Fractional coordinates of all 5 atoms:
Hf: 0.0000 0.0000 0.0000  6 Sc 2.60
Sc: 0.0000 0.0000 0.5000  2 Hf 2.60
Sc: 0.0000 0.5000 0.0000  2 Hf 2.60
Sc: 0.5000 0.0000 0.0000  2 Hf 2.60
Hg: 0.5000 0.5000 0.5000  12 Sc 3.67

Values from the calculation:
magnetization	0.00	μB/cell
DOS(E_F)	5.137	states/eV per cell
excess energy over the best structure of this formula in the dataset	0.074	eV per atom
DFT formation energy	3.656	eV per formula unit
crystal system	cubic

=====

A plane-wave DFT calculation with PBE was carried out for a relaxed structure of ErAl2V.

abc: 3.3587 3.3587 6.5067
angles: 90.00 90.00 90.00
With the nearest neighbours (Å) after each atom.
Fractional coordinates of all 4 atoms:
Er: 0.0000 0.0000 0.0000  8 Al 3.09, 2 V 3.25, 4 Er 3.36
Al: 0.5000 0.5000 0.3028  1 Al 2.57, 4 V 2.70
Al: 0.5000 0.5000 0.6972  1 Al 2.57, 4 V 2.70
V: 0.0000 0.0000 0.5000  8 Al 2.70

Values from the calculation:
magnetization	0.35	μB/cell
DOS(E_F)	3.073	states/eV per cell
excess energy over the best structure of this formula in the dataset	0.000	eV per atom
DFT formation energy	-0.659	eV per formula unit
crystal system	tetragonal

=====

A plane-wave DFT calculation with PBE was carried out for a relaxed structure of NaNd2Pu3Te6.

abc: 10.0090 10.0090 8.9944
angles: 102.80 102.80 25.77
With the nearest neighbours (Å) after each atom.
Fractional coordinates of all 12 atoms:
Na: 0.0000 0.0000 0.0000  6 Te 3.19
Nd: 0.3334 0.3334 0.6642  6 Te 3.17-3.19
Nd: 0.6666 0.6666 0.3358  6 Te 3.17-3.19
Pu: 0.0000 0.0000 0.5000  6 Te 3.14-3.15
Pu: 0.3341 0.3341 0.1646  6 Te 3.14-3.16
Pu: 0.6659 0.6659 0.8354  6 Te 3.14-3.16
Te: 0.1653 0.1653 0.5890  3 Pu 3.14, 3 Nd 3.19
Te: 0.1678 0.1678 0.0830  3 Pu 3.15-3.16, 1 Na 3.19, 2 Nd 3.19
Te: 0.4998 0.4998 0.2531  3 Pu 3.15, 1 Nd 3.17, 2 Na 3.19
Te: 0.5002 0.5002 0.7469  3 Pu 3.15, 1 Nd 3.17, 2 Na 3.19
Te: 0.8322 0.8322 0.9170  3 Pu 3.15-3.16, 1 Na 3.19, 2 Nd 3.19
Te: 0.8347 0.8347 0.4110  3 Pu 3.14, 3 Nd 3.19

Values from the calculation:
E_tot	-7.272	eV per atom
magnetization	17.58	μB/cell
DOS(E_F)	35.098	states/eV per cell
crystal system	monoclinic

=====

A plane-wave DFT calculation with PBE was carried out for a relaxed structure of Hf3TcI.

abc: 5.0624 5.0624 5.0624
angles: 90.00 90.00 90.00
With the nearest neighbours (Å) after each atom.
Fractional coordinates of all 5 atoms:
Hf: 0.0000 0.0000 0.5000  2 Tc 2.53
Hf: 0.0000 0.5000 0.0000  2 Tc 2.53
Hf: 0.5000 0.0000 0.0000  2 Tc 2.53
Tc: 0.0000 0.0000 0.0000  6 Hf 2.53
I: 0.5000 0.5000 0.5000  12 Hf 3.58

Values from the calculation:
magnetization	0.00	μB/cell
DOS(E_F)	3.993	states/eV per cell
excess energy over the best structure of this formula in the dataset	0.000	eV per atom
crystal system	cubic